## Fe3Hg2 (PBEsol)

Data for a geometry-optimized Fe3Hg2 structure.

Unit cell a=4.3578 b=4.3578 c=13.3882 alpha=90.00 beta=90.00 gamma=120.00
Last column: nearest neighbours and their distance in Å.
Space group R-3m (No. 166, hexagonal axes)
Inequivalent atoms, fractional coordinates:
Fe 0.0000 0.0000 0.0000 (multiplicity 3)  2 Fe 2.48, 6 Hg 2.66
Fe 0.0000 0.0000 0.1851 (multiplicity 6)  4 Fe 2.48-2.56, 3 Hg 2.76
Hg 0.0000 0.0000 0.3971 (multiplicity 6)  7 Fe 2.66-2.84, 1 Hg 2.75

Magnetization ... 7.44 μB per formula unit
Density of states at the Fermi level ... 9.83 states/eV/cell
Energy relative to the elements ... 409 meV/atom